Below is crystalline Nd5Pb4O at its relaxed geometry, with properties calculated at the GGA-PBE level.

Results
**Magnetic moment**: 0.0000 μB/atom
**DFT total energy**: -51.88 eV/cell
**Uncorrected formation energy**: -0.825 eV/atom

Lattice parameters (Å, degrees): 6.4318 7.5696 7.5696 79.60 64.86 64.86
Last column: nearest neighbours and their distance in Å.
Fractional coordinates of all 10 atoms:
Pb (0.5733, 0.6065, 0.2537)  6 Nd 3.21-3.36
Pb (0.1798, 0.2537, 0.3935)  6 Nd 3.21-3.36
Pb (0.4334, 0.3935, 0.7463)  6 Nd 3.21-3.36
Pb (0.8270, 0.7463, 0.6065)  6 Nd 3.21-3.36
Nd (0.2423, 0.8614, 0.6498)  1 O 2.62
Nd (0.7535, 0.1386, 0.3502)  1 O 2.62
Nd (0.1037, 0.6498, 0.1386)  1 O 2.62
Nd (0.4353, 0.0000, 0.0000)  1 O 2.35
Nd (0.8921, 0.3502, 0.8614)  1 O 2.62
O (0.0698, 0.0000, 0.0000)  5 Nd 2.35-2.62